# 1
# HoReB4

Crystalline HoReB4 at its relaxed geometry (GGA-PBE, Alexandria).

abc: 3.1482 4.7043 4.7043
angles: 69.58 70.45 70.45
Last column: nearest neighbours and their distance in Å.
Sites, in units of the cell vectors:
Re 0.5000 0.5000 0.5000  12 B 2.52-2.53
B 0.2496 0.0866 0.4142  3 B 1.76-1.83
B 0.2496 0.4142 0.0866  3 B 1.76-1.83
B 0.7504 0.5858 0.9134  3 B 1.76-1.83
Ho 0.0000 0.0000 0.0000  12 B 2.52
B 0.7504 0.9134 0.5858  3 B 1.76-1.83

Values from the calculation:
Spin magnetization ... 0.000 μB per atom
SG ... No. 71
ρ ... 10.98 g/cm3
Formation energy from the elements ... -0.299 eV/atom
Offset from the most stable computed form ... 296.1 meV/atom

***

# 2
# Ge2SbP

Crystalline Ge2SbP at its relaxed geometry (GGA-PBE, Alexandria).

abc: 6.6272 6.6272 6.4701
angles: 59.19 59.19 90.00
Last column: nearest neighbours and their distance in Å.
Sites, in units of the cell vectors:
Ge 0.5819 0.1250 0.2500  2 P 2.42
P 0.5000 0.5000 0.0000  4 Ge 2.42
Ge 0.1681 0.6250 0.2500  2 P 2.42
Ge 0.8750 0.8319 0.7500  2 P 2.42
Sb 0.7500 0.2500 0.5000  4 Ge 2.79
Ge 0.3750 0.4181 0.7500  2 P 2.42
P 0.2500 0.7500 0.5000  4 Ge 2.42
Sb 0.0000 0.0000 0.0000  4 Ge 2.79

Values from the calculation:
Spin magnetization ... 0.000 μB per atom
SG ... No. 122
ρ ... 5.05 g/cm3
Offset from the most stable computed form ... 0.0 meV/atom

***

# 3
# K6Na2Pb

Crystalline K6Na2Pb at its relaxed geometry (GGA-PBE, Alexandria).

abc: 4.6400 10.2565 12.0382
angles: 64.79 84.48 76.95
Last column: nearest neighbours and their distance in Å.
Sites, in units of the cell vectors:
K 0.6650 0.6980 0.0000  2 Pb 3.77-3.85, 2 Na 3.86
K 0.8118 0.1387 0.3352  2 Na 3.95-4.13, 4 K 4.05-4.38
Na 0.5000 0.8898 0.2204  2 Pb 3.34
K 0.1882 0.5261 0.3352  2 Na 3.95-4.13, 4 K 4.05-4.38
K 0.1882 0.8613 0.6648  2 Na 3.95-4.13, 4 K 4.05-4.38
K 0.8118 0.4739 0.6648  2 Na 3.95-4.13, 4 K 4.05-4.38
Pb 0.0000 0.0000 0.0000  4 Na 3.34
K 0.3350 0.3020 0.0000  2 Pb 3.77-3.85, 2 Na 3.86
Na 0.5000 0.1102 0.7796  2 Pb 3.34

Values from the calculation:
Spin magnetization ... 0.000 μB per atom
SG ... No. 12
ρ ... 1.60 g/cm3
Formation energy from the elements ... 0.005 eV/atom

***

# 4
# MnSbPd14

Crystalline MnSbPd14 at its relaxed geometry (GGA-PBE, Alexandria).

abc: 5.6576 5.6576 7.7900
angles: 90.00 90.00 90.00
Last column: nearest neighbours and their distance in Å.
Sites, in units of the cell vectors:
Pd 0.3750 0.8750 0.0000  12 Pd 2.80-2.83
Pd 0.8750 0.3750 0.5000  8 Pd 2.78, 2 Sb 2.83, 2 Mn 2.83
Mn 0.3750 0.3750 0.5000  12 Pd 2.77-2.83
Pd 0.3750 0.8750 0.5000  8 Pd 2.78, 2 Sb 2.83, 2 Mn 2.83
Pd 0.6233 0.1267 0.7477  1 Mn 2.77, 10 Pd 2.78-2.85, 1 Sb 2.79
Pd 0.1267 0.6233 0.7477  1 Mn 2.77, 10 Pd 2.78-2.85, 1 Sb 2.79
Pd 0.6233 0.6233 0.7477  1 Mn 2.77, 10 Pd 2.78-2.85, 1 Sb 2.79
Sb 0.8750 0.8750 0.5000  12 Pd 2.79-2.83
Pd 0.1268 0.1268 0.2523  1 Mn 2.77, 10 Pd 2.78-2.85, 1 Sb 2.79
Pd 0.8750 0.3750 0.0000  12 Pd 2.80-2.83
Pd 0.1268 0.1268 0.7477  1 Mn 2.77, 10 Pd 2.78-2.85, 1 Sb 2.79
Pd 0.6233 0.1267 0.2523  1 Mn 2.77, 10 Pd 2.78-2.85, 1 Sb 2.79
Pd 0.8750 0.8750 0.0000  12 Pd 2.81-2.83
Pd 0.6233 0.6233 0.2523  1 Mn 2.77, 10 Pd 2.78-2.85, 1 Sb 2.79
Pd 0.3750 0.3750 0.0000  12 Pd 2.79-2.83
Pd 0.1267 0.6233 0.2523  1 Mn 2.77, 10 Pd 2.78-2.85, 1 Sb 2.79

Values from the calculation:
DFT total energy ... -88.584 eV/cell
Spin magnetization ... 0.310 μB per atom
SG ... No. 123
ρ ... 11.10 g/cm3